# CSe2I

A crystal of CSe2I relaxed with PBEsol (SCAN, Alexandria).

Values from the calculation:
Calculated total energy, eV/cell: -252.1
Formation energy from raw total energies, meV/atom: 738.4
ρ, g cm⁻³: 3.9

abc: 4.3091 4.3091 23.7933
angles: 90.00 90.00 120.00
Last column: nearest neighbours and their distance in Å.
Space group R-3m (No. 166, hexagonal axes)
Inequivalent atoms, fractional coordinates:
C 0.0000 0.0000 0.0000  2 Se 1.72
Se 0.0000 0.0000 0.0722  1 C 1.72
I 0.0000 0.0000 0.5000  6 Se 3.35